(1)
Compound: CuRu5
Source: Alexandria
Functional: GGA-PBE
Structure: relaxed

Lattice parameters (Å, degrees): 5.0223 5.0223 5.0223 60.00 60.00 60.00
With the nearest neighbours (Å) after each atom.
Fractional positions:
Cu (0.0000, 0.0000, 0.0000)  16 Ru 2.94-3.08
Ru (0.3750, 0.3750, 0.3750)  6 Ru 2.51
Ru (0.3750, 0.3750, 0.8751)  6 Ru 2.51
Ru (0.3750, 0.8751, 0.3750)  6 Ru 2.51
Ru (0.7500, 0.7500, 0.7500)  12 Ru 2.94, 4 Cu 3.08
Ru (0.8751, 0.3750, 0.3750)  6 Ru 2.51

Properties
Volume (Å³ per cell): 89.6
Final energy (eV/cell): -46.37
Polymorph energy (0 for the lowest one) (eV per formula unit): 3.32

---

(2)
Compound: CuRu3
Source: Alexandria
Functional: GGA-PBE
Structure: relaxed

Lattice parameters (Å, degrees): 5.4012 5.4012 4.2939 90.00 90.00 120.00
With the nearest neighbours (Å) after each atom.
Fractional positions:
Cu (0.3333, 0.6667, 0.2500)  12 Ru 2.63-2.70
Cu (0.6667, 0.3333, 0.7500)  12 Ru 2.63-2.70
Ru (0.1716, 0.3432, 0.7500)  8 Ru 2.62-2.78, 4 Cu 2.63-2.70
Ru (0.1716, 0.8284, 0.7500)  8 Ru 2.62-2.78, 4 Cu 2.63-2.70
Ru (0.3432, 0.1716, 0.2500)  8 Ru 2.62-2.78, 4 Cu 2.63-2.70
Ru (0.6568, 0.8284, 0.7500)  8 Ru 2.62-2.78, 4 Cu 2.63-2.70
Ru (0.8284, 0.1716, 0.2500)  8 Ru 2.62-2.78, 4 Cu 2.63-2.70
Ru (0.8284, 0.6568, 0.2500)  8 Ru 2.62-2.78, 4 Cu 2.63-2.70

Properties
Volume (Å³ per cell): 108.5
Final energy (eV/cell): -61.69